<A>
PBE ScSi3Ge, relaxed; mass density = 3.1 g/cm³; N(E_F) = 4.72 states/eV per cell
1.0
4.740 0.000 0.000
0.000 4.740 0.000
0.000 0.000 4.740
Sc Si Ge
1 3 1
Cartesian
0.000 0.000 0.000
0.000 2.370 2.370
2.370 0.000 2.370
2.370 2.370 0.000
2.370 2.370 2.370

<B>
PBE ScSi3Ge, relaxed; mass density = 2.7 g/cm³; N(E_F) = 2.51 states/eV per cell
1.0
4.978 0.000 0.000
0.000 4.978 0.000
0.000 0.000 4.978
Sc Si Ge
1 3 1
Cartesian
0.000 0.000 0.000
0.000 0.000 2.489
0.000 2.489 0.000
2.489 0.000 0.000
2.489 2.489 2.489

It comes down to <A>, which is 239 meV/atom more stable than the next structure.